A relaxed structure of Tb8Os2Ru. Source: Alexandria, functional PBE-GGA.

a = 5.818 Å, b = 7.607 Å, c = 7.607 Å
α = 113.34°, β = 100.86°, γ = 100.86°
Fractional coordinates of all 11 atoms:
1 Tb 0.599 0.338 0.081
2 Tb 0.599 0.081 0.338
3 Tb 0.194 0.362 0.362
4 Tb 0.999 0.213 0.792
5 Tb 0.999 0.792 0.213
6 Tb 0.806 0.644 0.644
7 Tb 0.399 0.925 0.667
8 Tb 0.399 0.667 0.925
9 Os 0.500 0.695 0.312
10 Os 0.500 0.312 0.695
11 Ru 0.006 0.004 0.004

Properties
ΔE to the lowest computed polymorph: 46 meV/atom
N(E_F): 0.62 states/eV per atom
DFT formation energy: -163 meV/atom
ρ: 10.02 g/cm³
Total moment: 0.0 μB per cell
Final energy: -70.57 eV/cell